No. 1
ZrPa2Ni6 | PBE-GGA | optimized geometry

- Theoretical density: 10.3 g cm⁻³
- Energy relative to the elements: -242 kJ/mol of formula units
- Symmetry: Immm (71)
- Total magnetic moment: 0.0 μB/cell

abc: 3.2972 7.5389 7.5389
angles: 53.38 77.37 77.37
Last column: nearest neighbours and their distance in Å.
Sites, in units of the cell vectors:
Ni 0.0000 0.1851 0.8149  3 Ni 2.45-2.51, 2 Zr 2.70
Ni 0.8247 0.8621 0.4886  4 Ni 2.45-2.69, 3 Pa 2.69-2.72
Ni 0.1753 0.5114 0.1379  4 Ni 2.45-2.69, 3 Pa 2.69-2.72
Pa 0.6430 0.8570 0.8570  10 Ni 2.69-2.79
Ni 0.8247 0.4886 0.8621  4 Ni 2.45-2.69, 3 Pa 2.69-2.72
Ni 0.1753 0.1379 0.5114  4 Ni 2.45-2.69, 3 Pa 2.69-2.72
Zr 0.5000 0.5000 0.5000  4 Ni 2.70
Pa 0.3570 0.1430 0.1430  10 Ni 2.69-2.79
Ni 0.0000 0.8149 0.1851  3 Ni 2.45-2.51, 2 Zr 2.70

=====

No. 2
Zr2PaNi | PBE-GGA | optimized geometry

- Distance to the lowest polymorph of the same formula: 357 meV/atom
- Theoretical density: 9.4 g cm⁻³
- Energy relative to the elements: 89 kJ/mol of formula units
- Symmetry: R-3m (166)
- Total magnetic moment: 0.0 μB/cell

abc: 3.0856 3.0856 10.3215
angles: 81.40 81.40 60.00
Last column: nearest neighbours and their distance in Å.
Sites, in units of the cell vectors:
Zr 0.0990 0.0990 0.7029  3 Ni 2.73, 1 Pa 3.02
Zr 0.9010 0.9010 0.2971  3 Ni 2.73, 1 Pa 3.02
Pa 0.0000 0.0000 0.0000  2 Zr 3.02, 6 Pa 3.09
Ni 0.5000 0.5000 0.5000  6 Zr 2.73

=====

No. 3
Zr2PaNi | PBE-GGA | optimized geometry

- Distance to the lowest polymorph of the same formula: 0 meV/atom
- Theoretical density: 9.5 g cm⁻³
- Energy relative to the elements: -49 kJ/mol of formula units
- Symmetry: P4/mmm (123)
- Total magnetic moment: 0.0 μB/cell

abc: 3.2015 3.2015 8.0271
angles: 90.00 90.00 90.00
Last column: nearest neighbours and their distance in Å.
Sites, in units of the cell vectors:
Zr 0.0000 0.0000 0.7971  4 Ni 2.79
Ni 0.5000 0.5000 0.0000  8 Zr 2.79
Pa 0.5000 0.5000 0.5000  4 Pa 3.20, 8 Zr 3.29
Zr 0.0000 0.0000 0.2029  4 Ni 2.79

=====

Listing final energy for the structures above in their given order: -0.2643, -0.2890, -0.3021 hartree per atom.